Material: YFeSe2
Method: DFT, SCAN
State: PBEsol geometry

DFT total energy, eV per cell: -89.8
DOS at the Fermi energy, states/eV per atom: 0.322
E_form (uncorrected), kcal/mol of atoms: -21.30

```
data_YFeSe2
_cell_length_a 4.657
_cell_length_b 4.657
_cell_length_c 3.437
_cell_angle_alpha 90.00
_cell_angle_beta 90.00
_cell_angle_gamma 90.00
_symmetry_space_group_name_H-M 'P 4/m m m'
_symmetry_Int_Tables_number 123
_symmetry_space_group_name_Hall '-P 4 2'
loop_
_atom_site_label
_atom_site_type_symbol
_atom_site_fract_x
_atom_site_fract_y
_atom_site_fract_z
_atom_site_occupancy
Y1 Y 0.000 0.000 0.000 1
Fe1 Fe 0.500 0.500 0.000 1
Se1 Se 0.000 0.500 0.500 1
```


Material: AsOsPbW2
Method: DFT, SCAN
State: PBEsol geometry

DFT total energy, eV per cell: -298.8
DOS at the Fermi energy, states/eV per atom: 0.749

```
data_AsOsPbW2
_cell_length_a 4.641
_cell_length_b 4.641
_cell_length_c 4.526
_cell_angle_alpha 90.00
_cell_angle_beta 90.00
_cell_angle_gamma 90.00
_symmetry_space_group_name_H-M 'P 4/m m m'
_symmetry_Int_Tables_number 123
_symmetry_space_group_name_Hall '-P 4 2'
loop_
_atom_site_label
_atom_site_type_symbol
_atom_site_fract_x
_atom_site_fract_y
_atom_site_fract_z
_atom_site_occupancy
As1 As 0.000 0.000 0.000 1
Os1 Os 0.000 0.000 0.500 1
Pb1 Pb 0.500 0.500 0.500 1
W1 W 0.000 0.500 0.000 1
```